BaScMo2 | meta-GGA SCAN | PBEsol geometry

Results
Magnetic moment ... 0.0 μB/cell
Symmetry ... I-4m2, No. 119
Calculated formation energy ... 1.128 eV/atom
ρ ... 7.7 g cm⁻³
DFT total energy ... -29.76 eV per atom
DOS(E_F) ... 1.21 states/eV per atom
Relative energy among the computed polymorphs ... 41.0 kJ per mole of atoms

a b c (Å): 4.7742 4.7742 4.7742
angles (deg): 97.04 116.02 116.02
With the nearest neighbours (Å) after each atom.
Element x y z (fractional)
Mo (0.5000, 0.7500, 0.2500)  4 Mo 2.98, 4 Sc 2.98, 2 Ba 3.16
Sc (0.0000, 0.5000, 0.5000)  4 Ba 2.98, 6 Mo 2.98-3.16
Mo (0.0000, 0.0000, 0.0000)  4 Mo 2.98, 4 Ba 2.98, 2 Sc 3.16
Ba (0.5000, 0.2500, 0.7500)  6 Mo 2.98-3.16, 4 Sc 2.98



Zn2PtAu | meta-GGA SCAN | PBEsol geometry

Results
Magnetic moment ... 0.0 μB/cell
Symmetry ... Pmmm, No. 47
Calculated formation energy ... -0.430 eV/atom
ρ ... 14.9 g cm⁻³
DFT total energy ... -42.03 eV per atom
DOS(E_F) ... 0.23 states/eV per atom

a b c (Å): 2.8615 3.6399 5.5976
angles (deg): 90.00 90.00 90.00
With the nearest neighbours (Å) after each atom.
Element x y z (fractional)
Zn (0.0000, 0.0000, 0.7385)  4 Zn 2.67-2.93, 4 Pt 2.67, 4 Au 2.74
Au (0.5000, 0.5000, 0.0000)  8 Zn 2.74, 2 Pt 2.80, 2 Au 2.86
Pt (0.5000, 0.5000, 0.5000)  8 Zn 2.67, 2 Au 2.80, 2 Pt 2.86
Zn (0.0000, 0.0000, 0.2615)  4 Zn 2.67-2.93, 4 Pt 2.67, 4 Au 2.74